[1]
This record from Alexandria describes a crystal of LaWSeN2 relaxed with PBEsol. The functional is meta-GGA SCAN.

N(E_F)	1.94	states/eV per cell
space group	No. 123
calculated total energy	-30.975	eV per atom

a b c (Å): 4.0477 4.0477 4.9285
angles (deg): 90.00 90.00 90.00
Atoms (fractional coordinates):
N 0.0000 0.5000 0.0000
N 0.5000 0.0000 0.0000
Se 0.0000 0.0000 0.5000
W 0.0000 0.0000 0.0000
La 0.5000 0.5000 0.5000

[2]
This record from Alexandria describes a crystal of LaZnSeN2 relaxed with PBEsol. The functional is meta-GGA SCAN.

N(E_F)	1.09	states/eV per cell
space group	No. 123
calculated total energy	-18.402	eV per atom

a b c (Å): 4.0867 4.0867 6.3133
angles (deg): 90.00 90.00 90.00
Atoms (fractional coordinates):
Zn 0.5000 0.5000 0.5000
N 0.0000 0.5000 0.0000
N 0.5000 0.0000 0.0000
Se 0.0000 0.0000 0.5000
La 0.0000 0.0000 0.0000

[3]
This record from Alexandria describes a crystal of LaZnSeN2 relaxed with PBEsol. The functional is meta-GGA SCAN.

N(E_F)	2.18	states/eV per cell
space group	No. 123
calculated total energy	-18.950	eV per atom

a b c (Å): 4.1284 4.1284 4.6823
angles (deg): 90.00 90.00 90.00
Site moments in Bohr magnetons follow the coordinates.
Atoms (fractional coordinates):
Zn 0.0000 0.0000 0.0000  0.05
N 0.0000 0.5000 0.0000  0.84
N 0.5000 0.0000 0.0000  0.84
Se 0.0000 0.0000 0.5000  0.22
La 0.5000 0.5000 0.5000  -0.05

[4]
This record from Alexandria describes a crystal of La7Sn3N2 relaxed with PBEsol. The functional is meta-GGA SCAN.

N(E_F)	6.53	states/eV per cell
space group	No. 65
calculated total energy	-36.775	eV per atom

a b c (Å): 4.9256 5.0788 12.8721
angles (deg): 78.62 90.00 90.00
Atoms (fractional coordinates):
N 0.0000 0.1033 0.7934
N 0.0000 0.8967 0.2066
Sn 0.5000 0.5000 0.0000
Sn 0.5000 0.3078 0.3844
Sn 0.5000 0.6922 0.6156
La 0.0000 0.6019 0.7963
La 0.0000 0.2015 0.5969
La 0.0000 0.0000 0.0000
La 0.0000 0.3981 0.2037
La 0.5000 0.9045 0.1910
La 0.5000 0.0955 0.8090
La 0.0000 0.7985 0.4031

[5]
This record from Alexandria describes a crystal of LaSnTeN2 relaxed with PBEsol. The functional is meta-GGA SCAN.

N(E_F)	0.88	states/eV per cell
space group	No. 123
calculated total energy	-26.653	eV per atom

a b c (Å): 4.3255 4.3255 5.5876
angles (deg): 90.00 90.00 90.00
Site moments in Bohr magnetons follow the coordinates.
Atoms (fractional coordinates):
N 0.0000 0.5000 0.0000  0.47
N 0.5000 0.0000 0.0000  0.47
Te 0.0000 0.0000 0.5000  0.00
Sn 0.0000 0.0000 0.0000  -0.07
La 0.5000 0.5000 0.5000  -0.05

[6]
This record from Alexandria describes a crystal of Sr2La2N relaxed with PBEsol. The functional is meta-GGA SCAN.

N(E_F)	4.83	states/eV per cell
space group	No. 139
calculated total energy	-27.105	eV per atom

a b c (Å): 3.8608 3.8608 10.1741
angles (deg): 100.94 100.94 90.00
Atoms (fractional coordinates):
Sr 0.2500 0.7500 0.5000
Sr 0.7500 0.2500 0.5000
N 0.0000 0.0000 0.0000
La 0.4262 0.4262 0.8523
La 0.5738 0.5738 0.1477

[7]
This record from Alexandria describes a crystal of LaTaN3 relaxed with PBEsol. The functional is meta-GGA SCAN.

space group	No. 14
calculated total energy	-28.898	eV per atom

a b c (Å): 5.6825 7.0414 7.0512
angles (deg): 108.26 90.00 90.00
Atoms (fractional coordinates):
La 0.2478 0.6178 0.3796
La 0.7522 0.3822 0.6204
La 0.2522 0.1178 0.8796
La 0.7478 0.8822 0.1204
Ta 0.7282 0.3672 0.1368
Ta 0.2282 0.1328 0.3632
Ta 0.2718 0.6328 0.8632
Ta 0.7718 0.8672 0.6368
N 0.2438 0.3641 0.6371
N 0.2562 0.8641 0.1371
N 0.5394 0.2233 0.2850
N 0.0394 0.2767 0.2150
N 0.4606 0.7767 0.7150
N 0.7562 0.6359 0.3629
N 0.9011 0.0408 0.4606
N 0.0989 0.9592 0.5394
N 0.7438 0.1359 0.8629
N 0.9606 0.7233 0.7850
N 0.5989 0.5408 0.9606
N 0.4011 0.4592 0.0394

[8]
This record from Alexandria describes a crystal of LaTaTeN2 relaxed with PBEsol. The functional is meta-GGA SCAN.

N(E_F)	3.44	states/eV per cell
space group	No. 123
calculated total energy	-31.910	eV per atom

a b c (Å): 4.1374 4.1374 6.4744
angles (deg): 90.00 90.00 90.00
Site moments in Bohr magnetons follow the coordinates.
Atoms (fractional coordinates):
N 0.0000 0.5000 0.0000  0.15
N 0.5000 0.0000 0.0000  0.15
La 0.0000 0.0000 0.0000  0.00
Te 0.0000 0.0000 0.5000  0.13
Ta 0.5000 0.5000 0.5000  -1.85

[9]
This record from Alexandria describes a crystal of LaTaTeN2 relaxed with PBEsol. The functional is meta-GGA SCAN.

N(E_F)	1.32	states/eV per cell
space group	No. 123
calculated total energy	-33.625	eV per atom

a b c (Å): 4.2092 4.2092 5.3559
angles (deg): 90.00 90.00 90.00
Atoms (fractional coordinates):
N 0.0000 0.5000 0.0000
N 0.5000 0.0000 0.0000
La 0.5000 0.5000 0.5000
Te 0.0000 0.0000 0.5000
Ta 0.0000 0.0000 0.0000

[10]
This record from Alexandria describes a crystal of LaTeN2 relaxed with PBEsol. The functional is meta-GGA SCAN.

N(E_F)	2.55	states/eV per cell
space group	No. 166
calculated total energy	-24.986	eV per atom

a b c (Å): 3.7716 3.7716 6.9158
angles (deg): 74.18 74.18 60.00
Atoms (fractional coordinates):
N 0.8951 0.8951 0.3147
N 0.1049 0.1049 0.6853
Te 0.0000 0.0000 0.0000
La 0.5000 0.5000 0.5000

[11]
This record from Alexandria describes a crystal of La2TeN2 relaxed with PBEsol. The functional is meta-GGA SCAN.

N(E_F)	3.06	states/eV per cell
space group	No. 139
calculated total energy	-29.635	eV per atom

a b c (Å): 4.0372 4.0372 7.4639
angles (deg): 105.69 105.69 90.00
Site moments in Bohr magnetons follow the coordinates.
Atoms (fractional coordinates):
N 0.2500 0.7500 0.5000  0.52
N 0.7500 0.2500 0.5000  0.52
Te 0.0000 0.0000 0.0000  0.09
La 0.3399 0.3399 0.6798  0.03
La 0.6601 0.6601 0.3202  0.03

[12]
This record from Alexandria describes a crystal of La2TeN relaxed with PBEsol. The functional is meta-GGA SCAN.

N(E_F)	1.97	states/eV per cell
space group	No. 225
calculated total energy	-33.865	eV per atom

a b c (Å): 5.0827 5.0827 5.0827
angles (deg): 60.00 60.00 60.00
Atoms (fractional coordinates):
N 0.0000 0.0000 0.0000
Te 0.5000 0.5000 0.5000
La 0.2500 0.2500 0.2500
La 0.7500 0.7500 0.7500

[13]
This record from Alexandria describes a crystal of LaZrTe2N relaxed with PBEsol. The functional is meta-GGA SCAN.

N(E_F)	1.77	states/eV per cell
space group	No. 123
calculated total energy	-32.516	eV per atom

a b c (Å): 4.0451 5.6504 5.6504
angles (deg): 90.00 90.00 90.00
Atoms (fractional coordinates):
N 0.5000 0.0000 0.0000
Te 0.0000 0.0000 0.5000
Te 0.0000 0.5000 0.0000
Zr 0.0000 0.0000 0.0000
La 0.5000 0.5000 0.5000

[14]
This record from Alexandria describes a crystal of LaZrTeN2 relaxed with PBEsol. The functional is meta-GGA SCAN.

N(E_F)	1.12	states/eV per cell
space group	No. 123
calculated total energy	-26.606	eV per atom

a b c (Å): 4.3212 4.3212 5.5665
angles (deg): 90.00 90.00 90.00
Site moments in Bohr magnetons follow the coordinates.
Atoms (fractional coordinates):
N 0.0000 0.5000 0.0000  0.46
N 0.5000 0.0000 0.0000  0.46
Te 0.0000 0.0000 0.5000  0.01
Zr 0.0000 0.0000 0.0000  -0.11
La 0.5000 0.5000 0.5000  -0.04

[15]
This record from Alexandria describes a crystal of LaThN2 relaxed with PBEsol. The functional is meta-GGA SCAN.

N(E_F)	1.15	states/eV per cell
space group	No. 166
calculated total energy	-41.108	eV per atom

a b c (Å): 3.6677 3.6677 6.3530
angles (deg): 73.22 73.22 60.00
Atoms (fractional coordinates):
La 0.0000 0.0000 0.0000
Th 0.5000 0.5000 0.5000
N 0.2422 0.2422 0.2733
N 0.7578 0.7578 0.7267

[16]
This record from Alexandria describes a crystal of La2Tl2N relaxed with PBEsol. The functional is meta-GGA SCAN.

N(E_F)	2.76	states/eV per cell
space group	No. 139
calculated total energy	-47.558	eV per atom

a b c (Å): 5.7615 5.7615 5.7615
angles (deg): 102.27 113.19 113.19
Site moments in Bohr magnetons follow the coordinates.
Atoms (fractional coordinates):
Tl 0.0000 0.6894 0.6894  0.00
Tl 0.0000 0.3106 0.3106  0.00
N 0.0000 0.0000 0.0000  -0.02
La 0.5000 0.7500 0.2500  0.20
La 0.5000 0.2500 0.7500  0.20

[17]
This record from Alexandria describes a crystal of La3WN relaxed with PBEsol. The functional is meta-GGA SCAN.

N(E_F)	2.46	states/eV per cell
space group	No. 221
calculated total energy	-40.588	eV per atom

a b c (Å): 5.3480 5.3480 5.3480
angles (deg): 90.00 90.00 90.00
Atoms (fractional coordinates):
N 0.5000 0.5000 0.5000
W 0.0000 0.0000 0.0000
La 0.0000 0.5000 0.0000
La 0.0000 0.0000 0.5000
La 0.5000 0.0000 0.0000

[18]
This record from Alexandria describes a crystal of LaY3N relaxed with PBEsol. The functional is meta-GGA SCAN.

N(E_F)	5.46	states/eV per cell
space group	No. 221
calculated total energy	-25.294	eV per atom

a b c (Å): 5.4077 5.4077 5.4077
angles (deg): 90.00 90.00 90.00
Site moments in Bohr magnetons follow the coordinates.
Atoms (fractional coordinates):
Y 0.0000 0.5000 0.0000  -0.05
Y 0.0000 0.0000 0.5000  -0.05
Y 0.5000 0.0000 0.0000  -0.05
N 0.5000 0.5000 0.5000  1.29
La 0.0000 0.0000 0.0000  0.07

[19]
This record from Alexandria describes a crystal of NaLaScNbO6 relaxed with PBEsol. The functional is meta-GGA SCAN.

N(E_F)	0.00	states/eV per cell
space group	No. 12
calculated total energy	-16.489	eV per atom

a b c (Å): 5.6334 5.6334 8.0133
angles (deg): 90.09 90.09 90.66
Atoms (fractional coordinates):
Na 0.2542 0.7458 0.0000
Na 0.7458 0.2542 0.0000
La 0.2548 0.7452 0.5000
La 0.7452 0.2548 0.5000
Sc 0.7519 0.7519 0.7538
Sc 0.2481 0.2481 0.2462
Nb 0.7488 0.7488 0.2366
Nb 0.2512 0.2512 0.7634
O 0.0043 0.4932 0.7193
O 0.4932 0.0043 0.7193
O 0.9957 0.5068 0.2807
O 0.5068 0.9957 0.2807
O 0.8096 0.8096 0.0069
O 0.1904 0.1904 0.9931
O 0.0052 0.0052 0.6804
O 0.9948 0.9948 0.3196
O 0.6842 0.6842 0.4989
O 0.3158 0.3158 0.5011
O 0.4940 0.4940 0.7998
O 0.5060 0.5060 0.2002

[20]
This record from Alexandria describes a crystal of Na3LaTi2Nb2O12 relaxed with PBEsol. The functional is meta-GGA SCAN.

N(E_F)	0.00	states/eV per cell
space group	No. 13
calculated total energy	-14.421	eV per atom

a b c (Å): 7.7253 7.8037 7.7608
angles (deg): 90.00 90.00 89.94
Atoms (fractional coordinates):
Na 0.7500 0.7500 0.7510
Na 0.7500 0.7500 0.2483
Na 0.2500 0.2500 0.7517
Na 0.2500 0.2500 0.2490
Na 0.7500 0.2500 0.2335
Na 0.2500 0.7500 0.7665
La 0.7500 0.2500 0.7341
La 0.2500 0.7500 0.2659
Ti 0.0000 0.0000 0.5000
Ti 0.5000 0.5000 0.5000
Ti 0.0000 0.5000 0.0000
Ti 0.5000 0.0000 0.0000
Nb 0.0000 0.5000 0.5000
Nb 0.5000 0.0000 0.5000
Nb 0.0000 0.0000 0.0000
Nb 0.5000 0.5000 0.0000
O 0.9526 0.5165 0.7522
O 0.5476 0.5162 0.7468
O 0.2528 0.5477 0.5303
O 0.9696 0.7525 0.4651
O 0.5304 0.7475 0.4651
O 0.2472 0.9523 0.5303
O 0.7528 0.0477 0.4697
O 0.4696 0.2525 0.5349
O 0.0304 0.2475 0.5349
O 0.0476 0.0162 0.2532
O 0.4526 0.0165 0.2478
O 0.7472 0.4523 0.4697
O 0.2526 0.0239 0.9588
O 0.4524 0.4838 0.2532
O 0.0474 0.4835 0.2478
O 0.9633 0.2530 0.9779
O 0.5367 0.2470 0.9779
O 0.2474 0.4761 0.9588
O 0.7526 0.5239 0.0412
O 0.4633 0.7530 0.0221
O 0.0367 0.7470 0.0221
O 0.7474 0.9761 0.0412
O 0.5474 0.9835 0.7522
O 0.9524 0.9838 0.7468

[21]
This record from Alexandria describes a crystal of Na3LaTi2Nb2O12 relaxed with PBEsol. The functional is meta-GGA SCAN.

N(E_F)	0.00	states/eV per cell
space group	No. 5
calculated total energy	-14.419	eV per atom

a b c (Å): 5.5234 5.5234 7.7962
angles (deg): 90.10 90.10 91.62
Atoms (fractional coordinates):
Na 0.9943 0.0057 0.5000
Na 0.5182 0.4818 0.5000
Na 0.5242 0.4758 0.0000
La 0.0151 0.9849 0.0000
Ti 0.5100 0.9842 0.2481
Ti 0.0158 0.4900 0.7519
Nb 0.0126 0.4930 0.2603
Nb 0.5070 0.9874 0.7397
O 0.2789 0.2875 0.2417
O 0.2715 0.2878 0.7600
O 0.7122 0.7285 0.2400
O 0.7125 0.7211 0.7583
O 0.5352 0.0380 0.4955
O 0.0220 0.5487 0.9980
O 0.4513 0.9780 0.0020
O 0.9620 0.4648 0.5045
O 0.2022 0.8047 0.2754
O 0.7783 0.2186 0.2080
O 0.1953 0.7978 0.7246
O 0.7814 0.2217 0.7920

[22]
This record from Alexandria describes a crystal of NaLaNiS2 relaxed with PBEsol. The functional is meta-GGA SCAN.

N(E_F)	2.17	states/eV per cell
space group	No. 123
calculated total energy	-17.354	eV per atom

a b c (Å): 4.3183 4.6278 4.6278
angles (deg): 90.00 90.00 90.00
Atoms (fractional coordinates):
Ni 0.0000 0.0000 0.0000
S 0.0000 0.0000 0.5000
S 0.0000 0.5000 0.0000
Na 0.5000 0.0000 0.0000
La 0.5000 0.5000 0.5000

[23]
This record from Alexandria describes a crystal of NaLa2O2 relaxed with PBEsol. The functional is meta-GGA SCAN.

N(E_F)	2.51	states/eV per cell
space group	No. 139
calculated total energy	-23.039	eV per atom

a b c (Å): 4.2831 4.2831 7.3497
angles (deg): 106.94 106.94 90.00
Atoms (fractional coordinates):
Na 0.0000 0.0000 0.0000
O 0.2500 0.7500 0.5000
O 0.7500 0.2500 0.5000
La 0.3279 0.3279 0.6559
La 0.6721 0.6721 0.3441